1.
A geometry-optimized LiS2NCl structure, computed with GGA-PBE.

The space group is P4/mmm (No. 123) and the conventional cell measures 3.794, 3.794 and 8.028 Å, with angles of 90.00, 90.00 and 90.00 degrees. The inequivalent atoms are Li at (0.000, 0.000, 0.000), S at (0.000, 0.500, 0.500), N at (0.500, 0.500, 0.500) and Cl at (0.500, 0.500, 0.000).

For the density of states at the Fermi level, the calculation gives 1.7 states/eV/cell. The raw formation energy is 0.29 eV/atom. The calculation puts the energy above the most stable polymorph in this dataset at 0 meV/atom. The magnetic moment comes out at 0.00 μB per formula unit.

---

2.
A geometry-optimized FeSiHgBiPt structure, computed with GGA-PBE.

The space group is Pm (No. 6) and the conventional cell measures 5.440, 3.483 and 5.764 Å, with angles of 90.00, 114.34 and 90.00 degrees. The inequivalent atoms are Fe at (0.000, 0.000, 0.000), Si at (0.677, 0.500, 0.822), Hg at (0.387, 0.500, 0.326), Bi at (0.979, 0.000, 0.505) and Pt at (0.478, 0.000, 0.967).

For the density of states at the Fermi level, the calculation gives 3.7 states/eV/cell. The raw formation energy is 0.06 eV/atom. The calculation puts the energy above the most stable polymorph in this dataset at 116 meV/atom. The magnetic moment comes out at 2.22 μB per formula unit.

---

3.
A geometry-optimized RbNaCdAg2 structure, computed with GGA-PBE.

The space group is P4/mmm (No. 123) and the conventional cell measures 5.473, 5.473 and 5.620 Å, with angles of 90.00, 90.00 and 90.00 degrees. The inequivalent atoms are Rb at (0.000, 0.000, 0.000), Na at (0.500, 0.500, 0.000), Cd at (0.500, 0.500, 0.500) and Ag at (0.000, 0.500, 0.500).

For the density of states at the Fermi level, the calculation gives 2.7 states/eV/cell. The value obtained for the calculated formation energy is 0.137 eV per atom. The magnetic moment comes out at 0.00 μB per formula unit.

---

4.
A geometry-optimized CaTiAsSe2 structure, computed with GGA-PBE.

The space group is P4/mmm (No. 123) and the conventional cell measures 4.992, 4.992 and 4.930 Å, with angles of 90.00, 90.00 and 90.00 degrees. The inequivalent atoms are Ca at (0.000, 0.000, 0.000), Ti at (0.500, 0.500, 0.500), As at (0.500, 0.500, 0.000) and Se at (0.000, 0.500, 0.500).

For the density of states at the Fermi level, the calculation gives 1.7 states/eV/cell. The raw formation energy is -0.87 eV/atom. The calculation puts the energy above the most stable polymorph in this dataset at 0 meV/atom. The magnetic moment comes out at 0.00 μB per formula unit.

---

5.
A geometry-optimized Na2BiTeS4 structure, computed with GGA-PBE.

The space group is C2/c (No. 15) and the conventional cell measures 11.404, 11.301 and 8.057 Å, with angles of 90.00, 130.71 and 90.00 degrees. The inequivalent atoms are Na at (0.000, 0.000, 0.000), Na at (0.250, 0.250, 0.000), Bi at (0.000, 0.500, 0.000), Te at (0.250, 0.250, 0.500), S at (0.031, 0.251, 0.525) and S at (0.235, 0.489, 0.468).

For the density of states at the Fermi level, the calculation gives 4.4 states/eV/cell. The raw formation energy is -0.54 eV/atom. The magnetic moment comes out at 0.00 μB per formula unit.

---

6.
A geometry-optimized Sb6RuRh structure, computed with GGA-PBE.

The space group is C2/m (No. 12) and the conventional cell measures 13.231, 9.373 and 9.370 Å, with angles of 90.00, 134.88 and 90.00 degrees. The inequivalent atoms are Sb at (0.002, 0.156, 0.161), Sb at (0.156, 0.341, 0.655), Sb at (0.156, 0.500, 0.000), Sb at (0.162, 0.500, 0.318), Ru at (0.250, 0.250, 0.500) and Rh at (0.250, 0.250, 0.000).

For the density of states at the Fermi level, the calculation gives 19.8 states/eV/cell. The raw formation energy is -0.28 eV/atom. The magnetic moment comes out at 0.00 μB per formula unit.

---

7.
A geometry-optimized CoSiOs2 structure, computed with GGA-PBE.

The space group is P4mm (No. 99) and the conventional cell measures 2.790, 2.790 and 6.520 Å, with angles of 90.00, 90.00 and 90.00 degrees. The inequivalent atoms are Co at (0.000, 0.000, 0.000), Si at (0.500, 0.500, 0.816), Os at (0.000, 0.000, 0.562) and Os at (0.500, 0.500, 0.287).

For the density of states at the Fermi level, the calculation gives 1.3 states/eV/cell. The raw formation energy is -0.12 eV/atom. The magnetic moment comes out at 0.77 μB per formula unit.

---

8.
A geometry-optimized HgPt3 structure, computed with GGA-PBE.

The space group is Pm-3n (No. 223) and the conventional cell measures 5.192, 5.192 and 5.192 Å, with angles of 90.00, 90.00 and 90.00 degrees. The inequivalent atoms are Hg at (0.000, 0.000, 0.000) and Pt at (0.000, 0.250, 0.500).

For the density of states at the Fermi level, the calculation gives 11.3 states/eV/cell. The value obtained for the calculated formation energy is 0.325 eV per atom. The magnetic moment comes out at 0.00 μB per formula unit.